# 1
## Ca2TlZnRh (PBE)

Data for crystalline Ca2TlZnRh at its relaxed geometry.

Summary:
E_tot	-3.208	eV/atom
size of the total moment	0.0	μB per cell
space group	P4/mmm (123)
N(E_F)	2.587	states/eV per cell

a b c (Å): 5.4090 5.4090 4.8856
angles (deg): 90.00 90.00 90.00
Closest atoms and distances in Å follow each position.
Positions (direct):
1 Ca 0.0000 0.5000 0.0000  2 Rh 2.70
2 Ca 0.5000 0.0000 0.0000  2 Rh 2.70
3 Tl 0.0000 0.0000 0.5000  8 Ca 3.64, 4 Zn 3.82
4 Zn 0.5000 0.5000 0.5000  2 Rh 2.44
5 Rh 0.5000 0.5000 0.0000  2 Zn 2.44, 4 Ca 2.70

=====

# 2
## Ir2OsRu (PBE)

Data for crystalline Ir2OsRu at its relaxed geometry.

Summary:
E_tot	-9.535	eV/atom
size of the total moment	0.0	μB per cell
space group	C2/m (12)
N(E_F)	6.239	states/eV per cell

a b c (Å): 9.0583 2.7178 4.7174
angles (deg): 90.00 99.95 90.00
Closest atoms and distances in Å follow each position.
Positions (direct):
1 Ir 0.2495 0.0000 0.2493  6 Ir 2.72-2.73, 3 Os 2.72-2.73, 3 Ru 2.73
2 Ir 0.2505 0.5000 0.7507  6 Ir 2.72-2.73, 3 Os 2.72-2.73, 3 Ru 2.73
3 Ir 0.7495 0.5000 0.2493  6 Ir 2.72-2.73, 3 Os 2.72-2.73, 3 Ru 2.73
4 Ir 0.7505 0.0000 0.7507  6 Ir 2.72-2.73, 3 Os 2.72-2.73, 3 Ru 2.73
5 Os 0.0000 0.5000 0.0000  2 Os 2.72, 4 Ru 2.72, 6 Ir 2.72-2.73
6 Os 0.5000 0.0000 0.0000  2 Os 2.72, 4 Ru 2.72, 6 Ir 2.72-2.73
7 Ru 0.0000 0.0000 0.5000  2 Ru 2.72, 4 Os 2.72, 6 Ir 2.73
8 Ru 0.5000 0.5000 0.5000  2 Ru 2.72, 4 Os 2.72, 6 Ir 2.73

=====

# 3
## SmGa2Au7 (PBE)

Data for crystalline SmGa2Au7 at its relaxed geometry.

Summary:
E_tot	-3.603	eV/atom
size of the total moment	0.0	μB per cell
space group	Cmmm (65)
N(E_F)	2.733	states/eV per cell

a b c (Å): 7.4635 7.4635 4.7714
angles (deg): 90.00 90.00 119.39
Closest atoms and distances in Å follow each position.
Positions (direct):
1 Sm 0.0000 0.0000 0.0000  10 Au 2.93-3.14
2 Ga 0.2988 0.7012 0.5000  7 Au 2.56-2.74
3 Ga 0.7012 0.2988 0.5000  7 Au 2.56-2.74
4 Au 0.0695 0.3014 0.5000  2 Ga 2.61-2.74, 2 Au 2.79-2.80
5 Au 0.2274 0.7726 0.0000  2 Ga 2.56
6 Au 0.3014 0.0695 0.5000  2 Ga 2.61-2.74, 2 Au 2.79-2.80
7 Au 0.5000 0.5000 0.5000  2 Ga 2.59, 4 Au 2.80
8 Au 0.6986 0.9305 0.5000  2 Ga 2.61-2.74, 2 Au 2.79-2.80
9 Au 0.7726 0.2274 0.0000  2 Ga 2.56
10 Au 0.9305 0.6986 0.5000  2 Ga 2.61-2.74, 2 Au 2.79-2.80

=====

# 4
## LaTl2O (PBE)

Data for crystalline LaTl2O at its relaxed geometry.

Summary:
size of the total moment	0.0	μB per cell
space group	I-42d (122)
formation energy (no corrections)	-1.017	eV per atom
N(E_F)	8.459	states/eV per cell

a b c (Å): 10.6928 10.6928 4.3970
angles (deg): 90.00 90.00 90.00
Closest atoms and distances in Å follow each position.
Positions (direct):
1 La 0.0000 0.0000 0.0000  2 O 2.20
2 La 0.0000 0.5000 0.2500  2 O 2.20
3 La 0.5000 0.0000 0.7500  2 O 2.20
4 La 0.5000 0.5000 0.5000  2 O 2.20
5 Tl 0.1426 0.2500 0.6250  2 O 3.13, 2 Tl 3.18, 2 La 3.49
6 Tl 0.2500 0.6426 0.8750  2 O 3.13, 2 Tl 3.18, 2 La 3.49
7 Tl 0.2500 0.8574 0.3750  2 O 3.13, 2 Tl 3.18, 2 La 3.49
8 Tl 0.3574 0.2500 0.1250  2 O 3.13, 2 Tl 3.18, 2 La 3.49
9 Tl 0.6426 0.7500 0.1250  2 O 3.13, 2 Tl 3.18, 2 La 3.49
10 Tl 0.7500 0.1426 0.3750  2 O 3.13, 2 Tl 3.18, 2 La 3.49
11 Tl 0.7500 0.3574 0.8750  2 O 3.13, 2 Tl 3.18, 2 La 3.49
12 Tl 0.8574 0.7500 0.6250  2 O 3.13, 2 Tl 3.18, 2 La 3.49
13 O 0.0000 0.0000 0.5000  2 La 2.20
14 O 0.0000 0.5000 0.7500  2 La 2.20
15 O 0.5000 0.0000 0.2500  2 La 2.20
16 O 0.5000 0.5000 0.0000  2 La 2.20

=====

# 5
## Pr12Rh6Pb (PBE)

Data for crystalline Pr12Rh6Pb at its relaxed geometry.

Summary:
E_tot	-6.047	eV/atom
size of the total moment	0.0	μB per cell
space group	Im-3 (204)
N(E_F)	15.176	states/eV per cell

a b c (Å): 8.9326 8.9326 8.9326
angles (deg): 109.47 109.47 109.47
Closest atoms and distances in Å follow each position.
Positions (direct):
1 Pr 0.1212 0.3063 0.8149  3 Rh 2.75-3.08
2 Pr 0.1851 0.4914 0.3063  3 Rh 2.75-3.08
3 Pr 0.1851 0.8788 0.6937  3 Rh 2.75-3.08
4 Pr 0.3063 0.1851 0.4914  3 Rh 2.75-3.08
5 Pr 0.3063 0.8149 0.1212  3 Rh 2.75-3.08
6 Pr 0.4914 0.3063 0.1851  3 Rh 2.75-3.08
7 Pr 0.5086 0.6937 0.8149  3 Rh 2.75-3.08
8 Pr 0.6937 0.1851 0.8788  3 Rh 2.75-3.08
9 Pr 0.6937 0.8149 0.5086  3 Rh 2.75-3.08
10 Pr 0.8149 0.1212 0.3063  3 Rh 2.75-3.08
11 Pr 0.8149 0.5086 0.6937  3 Rh 2.75-3.08
12 Pr 0.8788 0.6937 0.1851  3 Rh 2.75-3.08
13 Rh 0.1310 0.5000 0.6310  1 Rh 2.70, 2 Pr 2.75
14 Rh 0.3690 0.8690 0.5000  1 Rh 2.70, 2 Pr 2.75
15 Rh 0.5000 0.3690 0.8690  1 Rh 2.70, 2 Pr 2.75
16 Rh 0.5000 0.6310 0.1310  1 Rh 2.70, 2 Pr 2.75
17 Rh 0.6310 0.1310 0.5000  1 Rh 2.70, 2 Pr 2.75
18 Rh 0.8690 0.5000 0.3690  1 Rh 2.70, 2 Pr 2.75
19 Pb 0.0000 0.0000 0.0000  12 Pr 3.69

=====

# 6
## MnCdCu2S4 (PBE)

Data for crystalline MnCdCu2S4 at its relaxed geometry.

Summary:
size of the total moment	6.0	μB per cell
space group	I-42m (121)
formation energy (no corrections)	-0.419	eV per atom
N(E_F)	4.519	states/eV per cell

a b c (Å): 5.4459 5.4459 10.7101
angles (deg): 90.00 90.00 90.00
Closest atoms and distances in Å follow each position.
Positions (direct):
1 Mn 0.0000 0.0000 0.0000  4 S 2.25
2 Mn 0.5000 0.5000 0.5000  4 S 2.25
3 Cd 0.0000 0.0000 0.5000  4 S 2.56
4 Cd 0.5000 0.5000 0.0000  4 S 2.56
5 Cu 0.0000 0.5000 0.2500  4 S 2.29
6 Cu 0.0000 0.5000 0.7500  4 S 2.29
7 Cu 0.5000 0.0000 0.2500  4 S 2.29
8 Cu 0.5000 0.0000 0.7500  4 S 2.29
9 S 0.2248 0.2248 0.1348  1 Mn 2.25, 2 Cu 2.29
10 S 0.2248 0.7752 0.8652  1 Mn 2.25, 2 Cu 2.29
11 S 0.2752 0.2752 0.6348  1 Mn 2.25, 2 Cu 2.29
12 S 0.2752 0.7248 0.3652  1 Mn 2.25, 2 Cu 2.29
13 S 0.7248 0.2752 0.3652  1 Mn 2.25, 2 Cu 2.29
14 S 0.7248 0.7248 0.6348  1 Mn 2.25, 2 Cu 2.29
15 S 0.7752 0.2248 0.8652  1 Mn 2.25, 2 Cu 2.29
16 S 0.7752 0.7752 0.1348  1 Mn 2.25, 2 Cu 2.29

=====

# 7
## TlSeF2 (PBE)

Data for crystalline TlSeF2 at its relaxed geometry.

Summary:
size of the total moment	12.0	μB per cell
space group	I-42d (122)
formation energy (no corrections)	-0.721	eV per atom
N(E_F)	0.000	states/eV per cell

a b c (Å): 6.2142 6.2142 11.2067
angles (deg): 90.00 90.00 90.00
Closest atoms and distances in Å follow each position.
Positions (direct):
1 Tl 0.0000 0.0000 0.0000  4 F 2.64
2 Tl 0.0000 0.5000 0.2500  4 F 2.64
3 Tl 0.5000 0.0000 0.7500  4 F 2.64
4 Tl 0.5000 0.5000 0.5000  4 F 2.64
5 Se 0.0000 0.0000 0.5000  4 F 2.58
6 Se 0.0000 0.5000 0.7500  4 F 2.58
7 Se 0.5000 0.0000 0.2500  4 F 2.58
8 Se 0.5000 0.5000 0.0000  4 F 2.58
9 F 0.2418 0.2500 0.6250  2 Se 2.58, 2 Tl 2.64
10 F 0.2500 0.7418 0.8750  2 Se 2.58, 2 Tl 2.64
11 F 0.2500 0.7582 0.3750  2 Se 2.58, 2 Tl 2.64
12 F 0.2582 0.2500 0.1250  2 Se 2.58, 2 Tl 2.64
13 F 0.7418 0.7500 0.1250  2 Se 2.58, 2 Tl 2.64
14 F 0.7500 0.2418 0.3750  2 Se 2.58, 2 Tl 2.64
15 F 0.7500 0.2582 0.8750  2 Se 2.58, 2 Tl 2.64
16 F 0.7582 0.7500 0.6250  2 Se 2.58, 2 Tl 2.64

=====

# 8
## BaMgIn2 (PBE)

Data for crystalline BaMgIn2 at its relaxed geometry.

Summary:
E_tot	-2.295	eV/atom
size of the total moment	0.0	μB per cell
space group	R-3m (166)
N(E_F)	5.784	states/eV per cell

a b c (Å): 3.6629 3.6629 31.9936
angles (deg): 90.00 90.00 120.00
Closest atoms and distances in Å follow each position.
Positions (direct):
1 Ba 0.0000 0.0000 0.0000  6 Ba 3.66, 6 In 3.67
2 Ba 0.3333 0.6667 0.6667  6 Ba 3.66, 6 In 3.67
3 Ba 0.6667 0.3333 0.3333  6 Ba 3.66, 6 In 3.67
4 Mg 0.0000 0.0000 0.5000  6 In 3.14
5 Mg 0.3333 0.6667 0.1667  6 In 3.14
6 Mg 0.6667 0.3333 0.8333  6 In 3.14
7 In 0.0000 0.0000 0.2394  3 Mg 3.14
8 In 0.0000 0.0000 0.7606  3 Mg 3.14
9 In 0.3333 0.6667 0.4273  3 Mg 3.14
10 In 0.3333 0.6667 0.9061  3 Mg 3.14
11 In 0.6667 0.3333 0.0939  3 Mg 3.14
12 In 0.6667 0.3333 0.5727  3 Mg 3.14

=====

Please write out number 4 again, unchanged.
## LaTl2O (PBE)

Data for crystalline LaTl2O at its relaxed geometry.

Summary:
size of the total moment	0.0	μB per cell
space group	I-42d (122)
formation energy (no corrections)	-1.017	eV per atom
N(E_F)	8.459	states/eV per cell

a b c (Å): 10.6928 10.6928 4.3970
angles (deg): 90.00 90.00 90.00
Closest atoms and distances in Å follow each position.
Positions (direct):
1 La 0.0000 0.0000 0.0000  2 O 2.20
2 La 0.0000 0.5000 0.2500  2 O 2.20
3 La 0.5000 0.0000 0.7500  2 O 2.20
4 La 0.5000 0.5000 0.5000  2 O 2.20
5 Tl 0.1426 0.2500 0.6250  2 O 3.13, 2 Tl 3.18, 2 La 3.49
6 Tl 0.2500 0.6426 0.8750  2 O 3.13, 2 Tl 3.18, 2 La 3.49
7 Tl 0.2500 0.8574 0.3750  2 O 3.13, 2 Tl 3.18, 2 La 3.49
8 Tl 0.3574 0.2500 0.1250  2 O 3.13, 2 Tl 3.18, 2 La 3.49
9 Tl 0.6426 0.7500 0.1250  2 O 3.13, 2 Tl 3.18, 2 La 3.49
10 Tl 0.7500 0.1426 0.3750  2 O 3.13, 2 Tl 3.18, 2 La 3.49
11 Tl 0.7500 0.3574 0.8750  2 O 3.13, 2 Tl 3.18, 2 La 3.49
12 Tl 0.8574 0.7500 0.6250  2 O 3.13, 2 Tl 3.18, 2 La 3.49
13 O 0.0000 0.0000 0.5000  2 La 2.20
14 O 0.0000 0.5000 0.7500  2 La 2.20
15 O 0.5000 0.0000 0.2500  2 La 2.20
16 O 0.5000 0.5000 0.0000  2 La 2.20

=====

The highest size of the total moment belongs to which entry? TlSeF2